ZnP3NO9: optimized geometry, GGA-PBE.

Geometry as POSCAR:
```
ZnP3NO9
1.0
6.794 0.000 0.000
-3.397 5.884 0.000
0.000 0.000 9.920
Zn P N O
2 6 2 18
Direct
0.000 0.000 0.000
0.000 0.000 0.500
0.386 0.117 0.250
0.386 0.269 0.750
0.731 0.117 0.750
0.731 0.614 0.250
0.883 0.269 0.250
0.883 0.614 0.750
0.333 0.667 0.000
0.333 0.667 0.500
0.262 0.018 0.120
0.262 0.018 0.380
0.262 0.244 0.620
0.262 0.244 0.880
0.485 0.097 0.750
0.485 0.388 0.250
0.612 0.097 0.250
0.612 0.515 0.750
0.756 0.018 0.620
0.756 0.018 0.880
0.756 0.738 0.120
0.756 0.738 0.380
0.903 0.388 0.750
0.903 0.515 0.250
0.982 0.244 0.120
0.982 0.244 0.380
0.982 0.738 0.620
0.982 0.738 0.880
```

Results
- E_tot (eV per formula unit) = -89.34
- energy relative to the elements, uncorrected (meV/atom) = -1349
- SG = No. 188
- DOS at the Fermi energy (states/eV/f.u.) = 7.94



ZrPN2O: optimized geometry, GGA-PBE.

Geometry as POSCAR:
```
ZrPN2O
1.0
4.360 0.000 0.000
0.000 4.360 0.000
0.000 0.000 4.008
Zr P N O
1 1 2 1
Direct
0.000 0.000 0.000
0.500 0.500 0.500
0.000 0.500 0.000
0.500 0.000 0.000
0.000 0.000 0.500
```

Results
- E_tot (eV per formula unit) = -33.36
- energy relative to the elements, uncorrected (meV/atom) = 441
- SG = No. 123
- DOS at the Fermi energy (states/eV/f.u.) = 2.54



ZrPN2O: optimized geometry, GGA-PBE.

Geometry as POSCAR:
```
ZrPN2O
1.0
3.651 0.000 0.000
0.000 3.651 0.000
0.000 0.000 3.526
Zr P N O
1 1 2 1
Direct
0.000 0.000 0.000
0.500 0.500 0.500
0.000 0.500 0.500
0.500 0.000 0.500
0.500 0.500 0.000
```

Results
- E_tot (eV per formula unit) = -38.59
- energy relative to the elements, uncorrected (meV/atom) = -605
- SG = No. 123
- DOS at the Fermi energy (states/eV/f.u.) = 1.90



Pa6N5O: optimized geometry, GGA-PBE.

Geometry as POSCAR:
```
Pa6N5O
1.0
3.032 -5.253 0.000
3.032 5.253 0.000
-2.026 0.000 5.713
Pa N O
6 5 1
Direct
0.081 0.416 0.750
0.249 0.249 0.252
0.416 0.081 0.750
0.584 0.919 0.250
0.751 0.751 0.748
0.919 0.584 0.250
0.000 0.000 0.500
0.166 0.834 0.000
0.331 0.669 0.500
0.669 0.331 0.500
0.834 0.166 0.000
0.500 0.500 0.000
```

Results
- E_tot (eV per formula unit) = -125.20
- energy relative to the elements, uncorrected (meV/atom) = -1803
- SG = No. 12
- DOS at the Fermi energy (states/eV/f.u.) = 7.70



Pa4N6O: optimized geometry, GGA-PBE.

Geometry as POSCAR:
```
Pa4N6O
1.0
-3.104 3.104 4.106
3.104 -3.104 4.106
3.104 3.104 -4.106
Pa N O
4 6 1
Direct
0.158 0.158 0.525
0.367 0.842 0.000
0.633 0.633 0.475
0.842 0.367 0.000
0.000 0.500 0.500
0.194 0.491 0.000
0.491 0.194 0.000
0.500 0.000 0.500
0.509 0.509 0.703
0.806 0.806 0.297
0.000 0.000 0.000
```

Results
- E_tot (eV per formula unit) = -111.33
- energy relative to the elements, uncorrected (meV/atom) = -1676
- SG = No. 121



Pa2N2O: optimized geometry, GGA-PBE.

Geometry as POSCAR:
```
Pa2N2O
1.0
2.773 -5.668 0.000
2.773 5.668 0.000
-0.866 0.000 5.463
Pa N O
4 4 2
Direct
0.132 0.353 0.002
0.353 0.132 0.502
0.647 0.868 0.498
0.868 0.647 0.998
0.022 0.978 0.750
0.249 0.751 0.250
0.751 0.249 0.750
0.978 0.022 0.250
0.474 0.526 0.750
0.526 0.474 0.250
```

Results
- E_tot (eV per formula unit) = -50.51
- energy relative to the elements, uncorrected (meV/atom) = -1982
- SG = No. 15
- DOS at the Fermi energy (states/eV/f.u.) = 3.52



Pa2NO: optimized geometry, GGA-PBE.

Geometry as POSCAR:
```
Pa2NO
1.0
1.747 1.008 5.707
-1.747 1.008 5.707
0.000 -2.017 5.707
Pa N O
2 1 1
Direct
0.249 0.249 0.249
0.751 0.751 0.751
0.500 0.500 0.500
0.000 0.000 0.000
```

Results
- E_tot (eV per formula unit) = -40.65
- energy relative to the elements, uncorrected (meV/atom) = -2095
- SG = No. 166
- DOS at the Fermi energy (states/eV/f.u.) = 3.48
- offset from the most stable computed form (meV per atom) = 0



Pa2NO: optimized geometry, GGA-PBE.

Geometry as POSCAR:
```
Pa2NO
1.0
3.070 0.000 0.000
0.000 3.070 0.000
0.000 0.000 6.154
Pa N O
2 1 1
Direct
0.000 0.000 0.241
0.000 0.000 0.759
0.500 0.500 0.000
0.500 0.500 0.500
```

Results
- E_tot (eV per formula unit) = -36.70
- energy relative to the elements, uncorrected (meV/atom) = -1107
- SG = No. 123
- DOS at the Fermi energy (states/eV/f.u.) = 6.63
- offset from the most stable computed form (meV per atom) = 988



Pa2N3O: optimized geometry, GGA-PBE.

Geometry as POSCAR:
```
Pa2N3O
1.0
5.431 0.000 0.000
0.000 5.431 0.000
0.000 0.000 5.431
Pa N O
4 6 2
Direct
0.000 0.000 0.000
0.000 0.500 0.500
0.500 0.000 0.500
0.500 0.500 0.000
0.250 0.250 0.750
0.250 0.750 0.250
0.250 0.750 0.750
0.750 0.250 0.250
0.750 0.250 0.750
0.750 0.750 0.250
0.250 0.250 0.250
0.750 0.750 0.750
```

Results
- E_tot (eV per formula unit) = -60.81
- energy relative to the elements, uncorrected (meV/atom) = -1980
- SG = No. 224
- DOS at the Fermi energy (states/eV/f.u.) = 5.56



PmPaN2O: optimized geometry, GGA-PBE.

Geometry as POSCAR:
```
PmPaN2O
1.0
3.726 0.000 0.000
0.000 3.726 0.000
0.000 0.000 11.586
Pm Pa N O
2 2 4 2
Direct
0.250 0.250 0.111
0.750 0.750 0.889
0.250 0.250 0.611
0.750 0.750 0.389
0.250 0.250 0.424
0.250 0.250 0.775
0.750 0.750 0.225
0.750 0.750 0.576
0.250 0.750 0.000
0.750 0.250 0.000
```

Results
- E_tot (eV per formula unit) = -45.52
- energy relative to the elements, uncorrected (meV/atom) = -1933
- SG = No. 129
- DOS at the Fermi energy (states/eV/f.u.) = 1.84



Pa3PtN2O6: optimized geometry, GGA-PBE.

Geometry as POSCAR:
```
Pa3PtN2O6
1.0
5.410 -3.506 0.000
5.410 3.506 0.000
-0.215 0.000 4.787
Pa Pt N O
3 1 2 6
Direct
0.000 0.000 0.000
0.000 0.500 0.500
0.500 0.000 0.500
0.500 0.500 0.500
0.169 0.169 0.265
0.831 0.831 0.735
0.161 0.676 0.255
0.324 0.839 0.745
0.340 0.340 0.711
0.660 0.660 0.289
0.676 0.161 0.255
0.839 0.324 0.745
```

Results
- E_tot (eV per formula unit) = -107.47
- energy relative to the elements, uncorrected (meV/atom) = -2212
- SG = No. 12



RbPaNO: optimized geometry, GGA-PBE.

Geometry as POSCAR:
```
RbPaNO
1.0
3.172 -1.831 0.000
3.172 1.831 0.000
-0.020 0.000 7.217
Rb Pa N O
1 1 1 1
Direct
0.000 0.000 0.000
0.669 0.669 0.474
0.002 0.002 0.594
0.335 0.335 0.321
```

Results
- E_tot (eV per formula unit) = -30.56
- energy relative to the elements, uncorrected (meV/atom) = -1703
- SG = No. 8
- DOS at the Fermi energy (states/eV/f.u.) = 3.39